A relaxed LiV2OF5 crystal. Source: Alexandria, functional GGA+U.

Cell and atoms, written as CIF:
```
data_LiV2OF5
_symmetry_space_group_name_H-M 'P 1'
_symmetry_Int_Tables_number 1
_symmetry_space_group_name_Hall 'P 1'
_cell_length_a 4.583
_cell_length_b 8.699
_cell_length_c 8.738
_cell_angle_alpha 119.88
_cell_angle_beta 89.93
_cell_angle_gamma 90.57
loop_
_atom_site_label
_atom_site_fract_x
_atom_site_fract_y
_atom_site_fract_z
F1 0.745 0.775 0.214
F2 0.736 0.465 0.566
V1 0.479 0.693 0.685
F3 0.732 0.784 0.551
V2 0.982 0.639 0.993
Li1 0.520 0.337 0.672
F4 0.268 0.231 0.447
F5 0.265 0.896 0.433
F6 0.735 0.444 0.230
F7 0.754 0.771 0.888
F8 0.257 0.562 0.791
O1 0.742 0.440 0.905
V3 0.016 0.992 0.657
F9 0.238 0.228 0.116
V4 0.986 0.334 0.342
F10 0.235 0.877 0.111
O2 0.767 0.125 0.239
F11 0.743 0.101 0.545
Li2 0.004 0.999 0.999
V5 0.516 0.007 0.314
F12 0.764 0.106 0.881
F13 0.266 0.215 0.772
V6 0.515 0.327 0.997
F14 0.254 0.543 0.113
F15 0.258 0.556 0.453
O3 0.231 0.884 0.758
Li3 0.492 0.668 0.332
```

Computed properties:
- Total DFT energy (no corrections): -166.75 eV for the cell shown
- M_tot: 4.00 μB/f.u.